# SiMoW2O, optimized geometry, DFT PBE with a Hubbard U
# polymorph energy (0 for the lowest one)	0	meV per atom
# electronic total energy	-5.045	eV/atom
data_SiMoW2O
_space_group_name_H-M_alt 'P 4/m m m'
_space_group_IT_number 123
_space_group_name_Hall '-P 4 2'
_cell_length_a 5.3362
_cell_length_b 5.3362
_cell_length_c 3.7645
_cell_angle_alpha 90.00
_cell_angle_beta 90.00
_cell_angle_gamma 90.00
loop_
_atom_site_label
_atom_site_type_symbol
_atom_site_fract_x
_atom_site_fract_y
_atom_site_fract_z
Si1 Si 0.0000 0.0000 0.0000
Mo1 Mo 0.5000 0.5000 0.5000
W1 W 0.0000 0.5000 0.5000
O1 O 0.5000 0.5000 0.0000